(1)
A relaxed structure of Li2MgRu, computed with PBEsol.

* crystal system: orthorhombic
* size of the total moment: 0.000 Bohr magnetons per cell
* volume: 14.9 A^3/atom
* ΔH_f (0 K): 0.204 eV/atom

Cell: 2.7390 4.5990 4.7436 Å, 90.00 90.00 90.00°
Closest atoms and distances in Å follow each position.
Space group Pmmm (No. 47)
Unique sites:
Li  0.0000  0.0000  0.0000  6 Li 2.68-2.74, 4 Ru 2.74
Li  0.5000  0.5000  0.0000  6 Li 2.68-2.74, 4 Mg 2.74
Mg  0.0000  0.5000  0.5000  4 Ru 2.68, 4 Li 2.74, 2 Mg 2.74
Ru  0.5000  0.0000  0.5000  4 Mg 2.68, 4 Li 2.74, 2 Ru 2.74

(2)
A relaxed structure of Y2ZrGaC, computed with PBEsol.

* crystal system: tetragonal
* size of the total moment: 0.000 Bohr magnetons per cell
* volume: 23.2 A^3/atom
* ΔH_f (0 K): 0.913 eV/atom

Cell: 5.7144 5.7144 3.5552 Å, 90.00 90.00 90.00°
Closest atoms and distances in Å follow each position.
Space group P4/mmm (No. 123)
Unique sites:
Y  0.0000  0.5000  0.0000  2 Ga 2.86
Zr  0.0000  0.0000  0.5000  8 Y 3.37, 2 Zr 3.56
Ga  0.5000  0.5000  0.0000  2 C 1.78
C  0.5000  0.5000  0.5000  2 Ga 1.78

(3)
A relaxed structure of Ca2FeSe, computed with PBEsol.

* excess energy over the best structure of this formula in the dataset: 300 meV per atom
* energy relative to the elements, uncorrected: -0.203 eV/atom
* crystal system: tetragonal
* size of the total moment: 2.990 Bohr magnetons per cell
* volume: 24.2 A^3/atom

Cell: 3.4670 3.4670 8.0416 Å, 90.00 90.00 90.00°
Closest atoms and distances in Å follow each position.
Space group P4mm (No. 99)
Unique sites:
Ca  0.0000  0.0000  0.0000  1 Fe 2.87, 4 Se 3.05
Ca  0.5000  0.5000  0.4045  1 Se 2.98, 4 Fe 3.11
Fe  0.0000  0.0000  0.6428  4 Se 2.67, 1 Ca 2.87
Se  0.5000  0.5000  0.7745  4 Fe 2.67, 1 Ca 2.98

(4)
A relaxed structure of KCa2Re, computed with PBEsol.

* excess energy over the best structure of this formula in the dataset: 147 meV per atom
* crystal system: orthorhombic
* size of the total moment: 0.001 Bohr magnetons per cell
* volume: 34.4 A^3/atom
* ΔH_f (0 K): 0.884 eV/atom

Cell: 3.0105 5.1901 17.6252 Å, 90.00 90.00 90.00°
Closest atoms and distances in Å follow each position.
Space group Imm2 (No. 44)
Unique sites:
K  0.0000  0.0000  0.0000  2 K 3.01
Ca  0.0000  0.0000  0.6871  2 Re 2.87, 2 Ca 3.01
Ca  0.0000  0.5000  0.8264  4 Re 3.00, 2 Ca 3.01
Re  0.0000  0.5000  0.3257  6 Ca 2.87-3.00, 2 Re 3.01

(5)
A relaxed structure of KZn2S2, computed with PBEsol.

* energy relative to the elements, uncorrected: -0.523 eV/atom
* crystal system: tetragonal
* size of the total moment: 0.001 Bohr magnetons per cell
* volume: 19.4 A^3/atom

Cell: 4.6307 4.6307 9.0537 Å, 90.00 90.00 90.00°
Closest atoms and distances in Å follow each position.
Space group I4/mmm (No. 139)
Unique sites:
K  0.0000  0.0000  0.0000  8 S 3.24, 10 Zn 3.24-3.52
Zn  0.0000  0.0000  0.3583  4 S 2.51, 1 Zn 2.57
S  0.0000  0.5000  0.2500  4 Zn 2.51

(6)
A relaxed structure of ReAgIr, computed with PBEsol.

* excess energy over the best structure of this formula in the dataset: 615 meV per atom
* crystal system: cubic
* size of the total moment: 0.000 Bohr magnetons per cell
* volume: 17.5 A^3/atom
* ΔH_f (0 K): 0.837 eV/atom

Cell: 5.9441 5.9441 5.9441 Å, 90.00 90.00 90.00°
Closest atoms and distances in Å follow each position.
Space group F-43m (No. 216)
Unique sites:
Re  0.0000  0.0000  0.0000  4 Ir 2.57
Ag  0.0000  0.0000  0.5000  4 Ir 2.57
Ir  0.2500  0.2500  0.2500  4 Ag 2.57, 4 Re 2.57

(7)
A relaxed structure of Al2AsRu, computed with PBEsol.

* crystal system: tetragonal
* size of the total moment: 0.000 Bohr magnetons per cell
* volume: 14.7 A^3/atom
* ΔH_f (0 K): -0.174 eV/atom

Cell: 4.3010 4.3010 3.1836 Å, 90.00 90.00 90.00°
Closest atoms and distances in Å follow each position.
Space group P4/mmm (No. 123)
Unique sites:
Al  0.0000  0.5000  0.0000  4 Ru 2.68, 4 As 2.68
As  0.0000  0.0000  0.5000  8 Al 2.68
Ru  0.5000  0.5000  0.5000  8 Al 2.68

(8)
A relaxed structure of LaMgAg, computed with PBEsol.

* crystal system: hexagonal
* size of the total moment: 0.000 Bohr magnetons per cell
* volume: 24.6 A^3/atom
* ΔH_f (0 K): -0.189 eV/atom

Cell: 4.9712 4.9712 3.4489 Å, 90.00 90.00 120.00°
Closest atoms and distances in Å follow each position.
Space group P-6m2 (No. 187)
Unique sites:
La  0.0000  0.0000  0.0000  6 Mg 3.35, 6 Ag 3.35, 2 La 3.45
Mg  0.3333  0.6667  0.5000  3 Ag 2.87
Ag  0.6667  0.3333  0.5000  3 Mg 2.87

(9)
A relaxed structure of Sr2InBr, computed with PBEsol.

* excess energy over the best structure of this formula in the dataset: 282 meV per atom
* energy relative to the elements, uncorrected: -0.701 eV/atom
* crystal system: tetragonal
* size of the total moment: 0.000 Bohr magnetons per cell
* volume: 35.0 A^3/atom

Cell: 4.6033 4.6033 13.2171 Å, 90.00 90.00 90.00°
Closest atoms and distances in Å follow each position.
Space group I-4m2 (No. 119)
Unique sites:
Sr  0.0000  0.0000  0.0000  4 Br 3.26
Sr  0.0000  0.5000  0.2500  4 In 3.26
In  0.0000  0.5000  0.7500  4 Sr 3.26
Br  0.0000  0.0000  0.5000  4 Sr 3.26

(10)
A relaxed structure of Y2AlPtS, computed with PBEsol.

* energy relative to the elements, uncorrected: -0.556 eV/atom
* crystal system: tetragonal
* size of the total moment: 0.000 Bohr magnetons per cell
* volume: 22.1 A^3/atom

Cell: 5.0183 5.0183 4.3784 Å, 90.00 90.00 90.00°
Closest atoms and distances in Å follow each position.
Space group P4/mmm (No. 123)
Unique sites:
Y  0.0000  0.5000  0.0000  2 S 2.51
Al  0.0000  0.0000  0.5000  2 S 2.19
Pt  0.5000  0.5000  0.5000  8 Y 3.33, 4 Al 3.55
S  0.0000  0.0000  0.0000  2 Al 2.19

(11)
A relaxed structure of Tc2RhBr, computed with PBEsol.

* excess energy over the best structure of this formula in the dataset: 160 meV per atom
* energy relative to the elements, uncorrected: 0.549 eV/atom
* crystal system: orthorhombic
* size of the total moment: 0.000 Bohr magnetons per cell
* volume: 14.7 A^3/atom

Cell: 4.0083 2.8472 10.3307 Å, 90.00 90.00 90.00°
Closest atoms and distances in Å follow each position.
Space group Amm2 (No. 38)
Unique sites:
Tc  0.0000  0.0000  0.0000  1 Br 2.45
Tc  0.5000  0.0000  0.3771  2 Br 2.47, 1 Rh 2.54
Rh  0.5000  0.0000  0.6225  5 Tc 2.54-2.76, 4 Br 2.73
Br  0.0000  0.0000  0.2375  3 Tc 2.45-2.47, 4 Rh 2.73

(12)
A relaxed structure of CrCoPt, computed with PBEsol.

* crystal system: trigonal
* size of the total moment: 0.532 Bohr magnetons per cell
* volume: 12.3 A^3/atom
* ΔH_f (0 K): 0.060 eV/atom

Cell: 2.6067 2.6067 6.2517 Å, 90.00 90.00 120.00°
Closest atoms and distances in Å follow each position.
Space group P3m1 (No. 156)
Unique sites:
Cr  0.0000  0.0000  0.0000  3 Co 2.39, 6 Cr 2.61, 3 Pt 2.65
Co  0.6667  0.3333  0.2967  3 Cr 2.39, 6 Co 2.61, 3 Pt 2.67
Pt  0.3333  0.6667  0.6503  6 Pt 2.61, 3 Cr 2.65, 3 Co 2.67

(13)
A relaxed structure of MgAg, computed with PBEsol.

* crystal system: orthorhombic
* size of the total moment: 0.000 Bohr magnetons per cell
* volume: 18.4 A^3/atom
* ΔH_f (0 K): -0.181 eV/atom

Cell: 3.0035 10.6455 4.5988 Å, 90.00 90.00 90.00°
Closest atoms and distances in Å follow each position.
Space group Cmcm (No. 63)
Unique sites:
Mg  0.0000  0.1590  0.2500  7 Ag 2.82-2.92, 2 Mg 3.00
Ag  0.0000  0.4236  0.2500  4 Ag 2.82-3.00, 7 Mg 2.82-2.92

(14)
A relaxed structure of Fe2SiMo, computed with PBEsol.

* energy relative to the elements, uncorrected: -0.249 eV/atom
* crystal system: tetragonal
* size of the total moment: 0.001 Bohr magnetons per cell
* volume: 11.6 A^3/atom

Cell: 3.7755 3.7755 6.4972 Å, 90.00 90.00 90.00°
Closest atoms and distances in Å follow each position.
Space group I4/mmm (No. 139)
Unique sites:
Fe  0.0000  0.5000  0.2500  4 Mo 2.49, 4 Si 2.49, 4 Fe 2.67
Si  0.0000  0.0000  0.0000  8 Fe 2.49, 4 Mo 2.67
Mo  0.0000  0.0000  0.5000  8 Fe 2.49, 4 Si 2.67

(15)
A relaxed structure of Hg2W2O7, computed with PBEsol.

* excess energy over the best structure of this formula in the dataset: 20 meV per atom
* energy relative to the elements, uncorrected: -1.591 eV/atom
* crystal system: triclinic
* size of the total moment: 0.000 Bohr magnetons per cell
* volume: 15.7 A^3/atom

Cell: 5.0870 8.7441 8.9581 Å, 63.57 75.17 81.66°
Closest atoms and distances in Å follow each position.
Space group P-1 (No. 2)
Unique sites:
Hg  0.0075  0.3481  0.1908  1 O 2.18
Hg  0.4207  0.4844  0.7355  1 O 2.12
W  0.0053  0.8128  0.3356  3 O 1.75-1.86
W  0.4512  0.9574  0.8513  4 O 1.81-1.91
O  0.1684  0.9320  0.7719  1 W 1.84
O  0.1861  0.2402  0.4561  1 W 1.75
O  0.2085  0.6201  0.3605  1 W 1.80
O  0.2481  0.2021  0.7745  1 W 1.86
O  0.2826  0.9404  0.3472  2 W 1.87-1.97
O  0.2909  0.9287  0.0793  2 W 1.91-2.11
O  0.4000  0.2566  0.0860  1 W 1.81